Here is a relaxed BaMg2ScPd crystal from the Alexandria database. Energies are from GGA-PBE.

```
data_BaMg2ScPd
_space_group_name_H-M_alt 'P 1'
_space_group_IT_number 1
_space_group_name_Hall 'P 1'
_cell_length_a 5.286
_cell_length_b 5.286
_cell_length_c 5.076
_cell_angle_alpha 90.00
_cell_angle_beta 90.00
_cell_angle_gamma 90.00
loop_
_atom_site_label
_atom_site_fract_x
_atom_site_fract_y
_atom_site_fract_z
Ba1 0.000 0.000 0.000
Mg1 0.000 0.500 0.500
Mg2 0.500 0.000 0.500
Sc1 0.500 0.500 0.000
Pd1 0.500 0.500 0.500
```

Output
SG: P4/mmm (123)
volume: 141.8 Å³/cell
formation energy: -261 meV per atom